Computed, not measured: Na2CrCSO7 after structural relaxation at the PBE with a Hubbard U level of DFT.

a b c (Å): 5.1998 7.2397 8.9388
angles (deg): 90.00 92.33 90.00
Closest atoms and distances in Å follow each position.
Sites, in units of the cell vectors:
Na1 0.2339 0.9996 0.2903  4 O 2.31-2.45
Na2 0.2339 0.5004 0.2903  4 O 2.31-2.45
Na3 0.7661 0.0004 0.7097  4 O 2.31-2.45
Na4 0.7661 0.4996 0.7097  4 O 2.31-2.45
Cr1 0.2242 0.2500 0.8629  4 O 2.08-2.12
Cr2 0.7758 0.7500 0.1371  4 O 2.08-2.12
C1 0.2781 0.2500 0.5863  3 O 1.26-1.33
C2 0.7219 0.7500 0.4137  3 O 1.26-1.33
S1 0.2681 0.7500 0.9072  4 O 1.48-1.52
S2 0.7319 0.2500 0.0928  4 O 1.48-1.52
O1 0.0524 0.2500 0.6482  1 C 1.32
O2 0.1556 0.7500 0.0600  1 S 1.51
O3 0.1872 0.5821 0.8242  1 S 1.48
O4 0.1872 0.9179 0.8242  1 S 1.48
O5 0.3052 0.2500 0.4467  1 C 1.26
O6 0.4414 0.2500 0.0692  1 S 1.52
O7 0.4753 0.2500 0.6850  1 C 1.33
O8 0.5247 0.7500 0.3150  1 C 1.33
O9 0.5586 0.7500 0.9308  1 S 1.52
O10 0.6948 0.7500 0.5533  1 C 1.26
O11 0.8128 0.0821 0.1758  1 S 1.48
O12 0.8128 0.4179 0.1758  1 S 1.48
O13 0.8444 0.2500 0.9400  1 S 1.51
O14 0.9476 0.7500 0.3518  1 C 1.32

Output
V: 336.22 Å³/cell
DOS(E_F): 0.0 states/eV/cell
VASP energy: -6.512 eV per atom


Computed, not measured: Na3CrSiCO7 after structural relaxation at the PBE with a Hubbard U level of DFT.

a b c (Å): 5.2772 6.6480 8.9136
angles (deg): 90.00 92.30 90.00
Closest atoms and distances in Å follow each position.
Sites, in units of the cell vectors:
Na1 0.2217 0.2500 0.0901  4 O 2.32-2.41
Na2 0.2625 0.5172 0.7192  5 O 2.28-2.52
Na3 0.2625 0.9828 0.7192  5 O 2.28-2.52
Na4 0.7375 0.0172 0.2808  5 O 2.28-2.52
Na5 0.7375 0.4828 0.2808  5 O 2.28-2.52
Na6 0.7783 0.7500 0.9099  4 O 2.32-2.41
Cr1 0.2143 0.7500 0.3400  6 O 1.96-2.17
Cr2 0.7857 0.2500 0.6600  6 O 1.96-2.17
Si1 0.2799 0.2500 0.4221  4 O 1.63-1.66
Si2 0.7201 0.7500 0.5779  4 O 1.63-1.66
C1 0.2895 0.7500 0.0612  3 O 1.28-1.31
C2 0.7105 0.2500 0.9388  3 O 1.28-1.31
O1 0.0628 0.7500 0.1155  1 C 1.31
O2 0.1249 0.2500 0.5773  1 Si 1.63
O3 0.2122 0.0536 0.3140  1 Si 1.65
O4 0.2122 0.4464 0.3140  1 Si 1.65
O5 0.3232 0.7500 0.9198  1 C 1.28
O6 0.4118 0.7500 0.5341  1 Si 1.66
O7 0.4794 0.7500 0.1606  1 C 1.31
O8 0.5206 0.2500 0.8394  1 C 1.31
O9 0.5882 0.2500 0.4659  1 Si 1.66
O10 0.6768 0.2500 0.0802  1 C 1.28
O11 0.7878 0.5536 0.6860  1 Si 1.65
O12 0.7878 0.9464 0.6860  1 Si 1.65
O13 0.8751 0.7500 0.4227  1 Si 1.63
O14 0.9372 0.2500 0.8845  1 C 1.31

Output
V: 312.46 Å³/cell
DOS(E_F): 0.0 states/eV/cell
VASP energy: -6.723 eV per atom